An optimized crystal structure of LaYTm2, computed with PBE-GGA.

The structure belongs to space group P4/mmm (No. 123); the cell edges are 4.102, 4.102 and 7.820 Å and the angles 90.00°, 90.00° and 90.00°. The distinct sites, in fractional coordinates, are La at (0.000, 0.000, 0.000), Y at (0.000, 0.000, 0.500) and Tm at (0.500, 0.500, 0.262).

The calculation puts the energy relative to the elements at 94 meV per atom. The value obtained for the energy above the lowest structure with this stoichiometry is 0.082 eV per atom. As for the density of states at the Fermi level: 6.73 states/eV/f.u. For the raw total energy, the calculation gives -4.989 eV per atom.

An optimized crystal structure of Tb3Si8Os3, computed with PBE-GGA.

The structure belongs to space group Immm (No. 71); the cell edges are 4.138, 9.693 and 11.611 Å and the angles 90.00°, 90.00° and 90.00°. The distinct sites, in fractional coordinates, are Tb at (0.000, 0.000, 0.000), Tb at (0.000, 0.000, 0.318), Si at (0.000, 0.289, 0.123), Si at (0.000, 0.371, 0.331), Os at (0.000, 0.229, 0.500) and Os at (0.000, 0.500, 0.000).

The value obtained for the energy above the lowest structure with this stoichiometry is 0.077 eV per atom. The formation energy without anion corrections comes out at -0.503 eV/atom. As for the density of states at the Fermi level: 5.10 states/eV/f.u. For the raw total energy, the calculation gives -7.000 eV per atom.

An optimized crystal structure of KAsIO2, computed with PBE-GGA.

The structure belongs to space group P4/mmm (No. 123); the cell edges are 4.207, 4.207 and 5.855 Å and the angles 90.00°, 90.00° and 90.00°. The distinct sites, in fractional coordinates, are K at (0.000, 0.000, 0.000), As at (0.500, 0.500, 0.500), I at (0.500, 0.500, 0.000) and O at (0.000, 0.500, 0.500).

The value obtained for the energy above the lowest structure with this stoichiometry is 0.621 eV per atom. The formation energy without anion corrections comes out at -0.482 eV/atom. As for the density of states at the Fermi level: 2.51 states/eV/f.u. For the raw total energy, the calculation gives -3.924 eV per atom.